A plane-wave DFT calculation with PBE+U was carried out for a relaxed CeAlFe2O6 crystal.

Calculated values
As for the magnetic moment: 9.03 μB/f.u. Its space group is P1. The value obtained for the energy is -7.393 eV per atom.

Unit cell a=5.253 b=5.252 c=5.695 alpha=63.24 beta=62.07 gamma=59.91
Site moments in Bohr magnetons follow the coordinates.
Positions (direct):
Ce: 0.812 0.803 0.583  0.05
O: 0.950 0.597 0.235  0.11
O: 0.140 0.374 0.774  0.11
O: 0.715 0.136 0.775  0.11
O: 0.221 0.956 0.231  0.11
O: 0.590 0.228 0.234  0.11
O: 0.379 0.709 0.766  0.11
Fe: 0.014 0.014 0.959  4.31
Fe: 0.520 0.527 0.415  3.80
Al: 0.320 0.319 0.042  0.01